## CoSnAsO (PBE+U)

Data for a relaxed CoSnAsO crystal.

Distance to the lowest polymorph of the same formula, eV per atom: 0.3279
Crystal system: orthorhombic
Density, kg/m3: 5910

a = 3.9731 Å, b = 6.2472 Å, c = 6.0804 Å
α = 90.00°, β = 90.00°, γ = 90.00°
Closest atoms and distances in Å follow each position.
Fractional coordinates of all 8 atoms:
As1 0.0000 0.3674 0.3462  2 Co 2.39-2.43, 2 Sn 2.62
As2 0.0000 0.6326 0.8462  2 Co 2.39-2.43, 2 Sn 2.62
Co1 0.0000 0.7374 0.4686  2 O 2.18, 2 As 2.39-2.43
Co2 0.0000 0.2626 0.9686  2 O 2.18, 2 As 2.39-2.43
O1 0.5000 0.8630 0.3953  2 Sn 2.13-2.15, 2 Co 2.18
O2 0.5000 0.1370 0.8953  2 Sn 2.13-2.15, 2 Co 2.18
Sn1 0.5000 0.8282 0.0438  2 O 2.13-2.15
Sn2 0.5000 0.1718 0.5438  2 O 2.13-2.15